Entry 1:
Entry from the Alexandria database: a PBEsol-optimized structure of CrNi3 (meta-GGA SCAN).

Cell lengths 3.4909, 3.4909, 3.4909 Å; angles 90.00, 90.00, 90.00 degrees
Positions (direct):
Cr 0.0000 0.0000 0.0000
Ni 0.0000 0.5000 0.5000
Ni 0.5000 0.0000 0.5000
Ni 0.5000 0.5000 0.0000

Output
* calculated volume: 10.6 A^3/atom
* SG: Pm-3m (221)
* formation energy: -11.6 kJ/mol of formula units

---

Entry 2:
Entry from the Alexandria database: a PBEsol-optimized structure of BaY2Cu (meta-GGA SCAN).

Cell lengths 3.6880, 5.3740, 11.6584 Å; angles 90.00, 90.00, 90.00 degrees
Positions (direct):
Ba 0.0000 0.0000 0.0000
Ba 0.5000 0.5000 0.5000
Y 0.0000 0.0000 0.3993
Y 0.0000 0.5000 0.2026
Y 0.5000 0.0000 0.7026
Y 0.5000 0.5000 0.8993
Cu 0.0000 0.5000 0.7248
Cu 0.5000 0.0000 0.2248

Output
* calculated volume: 28.9 A^3/atom
* SG: Imm2 (44)
* polymorph energy (0 for the lowest one): 0 meV/atom
* formation energy: 69.2 kJ/mol of formula units

---

Entry 3:
Entry from the Alexandria database: a PBEsol-optimized structure of Ni2PbO (meta-GGA SCAN).

Cell lengths 5.8892, 5.8892, 5.8892 Å; angles 90.00, 90.00, 90.00 degrees
Positions (direct):
Ni 0.2500 0.2500 0.2500
Ni 0.2500 0.2500 0.7500
Ni 0.2500 0.7500 0.2500
Ni 0.2500 0.7500 0.7500
Ni 0.7500 0.2500 0.2500
Ni 0.7500 0.2500 0.7500
Ni 0.7500 0.7500 0.2500
Ni 0.7500 0.7500 0.7500
Pb 0.0000 0.0000 0.0000
Pb 0.0000 0.5000 0.5000
Pb 0.5000 0.0000 0.5000
Pb 0.5000 0.5000 0.0000
O 0.0000 0.0000 0.5000
O 0.0000 0.5000 0.0000
O 0.5000 0.0000 0.0000
O 0.5000 0.5000 0.5000

Output
* total DFT energy (no corrections): -451.1 eV per cell
* calculated volume: 12.8 A^3/atom
* SG: Fm-3m (225)

---

no.,DOS at the Fermi energy (states/eV/f.u.)
1,4.7
2,5.1
3,0.1